# Ti4MnPd

Ti4MnPd after structural relaxation (PBE, Alexandria via LeMat-Bulk).

Calculated values
Size of the total moment (μB/f.u.): 0.00
Space-group type: No. 166
Energy of formation from the pure elements (meV/atom): 44
Energy above the most stable polymorph in this dataset (kcal/mol of atoms): 7.58

Cell lengths 6.8157, 6.8157, 6.8157 Å; angles 37.70, 37.70, 37.70 degrees
Closest atoms and distances in Å follow each position.
Sites, in units of the cell vectors:
Ti 0.1157 0.1157 0.1157  1 Mn 2.19
Ti 0.3654 0.3654 0.3654  1 Pd 2.55, 3 Mn 2.61, 3 Ti 2.82
Ti 0.6346 0.6346 0.6346  1 Pd 2.55, 3 Mn 2.61, 3 Ti 2.82
Ti 0.8843 0.8843 0.8843  1 Mn 2.19
Mn 0.0000 0.0000 0.0000  2 Ti 2.19
Pd 0.5000 0.5000 0.5000  8 Ti 2.55-2.72

=====

# Ti4MnPd3

Ti4MnPd3 after structural relaxation (PBE, Alexandria via LeMat-Bulk).

Calculated values
Size of the total moment (μB/f.u.): 1.20
Space-group type: No. 123
Energy of formation from the pure elements (meV/atom): -489

Cell lengths 2.9458, 2.9458, 13.9469 Å; angles 90.00, 90.00, 90.00 degrees
Closest atoms and distances in Å follow each position.
Sites, in units of the cell vectors:
Ti 0.0000 0.0000 0.1040  4 Mn 2.54, 4 Pd 2.76
Ti 0.0000 0.0000 0.3675  8 Pd 2.78-2.80, 4 Ti 2.95
Ti 0.0000 0.0000 0.6325  8 Pd 2.78-2.80, 4 Ti 2.95
Ti 0.0000 0.0000 0.8960  4 Mn 2.54, 4 Pd 2.76
Mn 0.5000 0.5000 0.0000  8 Ti 2.54
Pd 0.5000 0.5000 0.2333  8 Ti 2.76-2.80, 4 Pd 2.95
Pd 0.5000 0.5000 0.5000  8 Ti 2.78, 4 Pd 2.95
Pd 0.5000 0.5000 0.7667  8 Ti 2.76-2.80, 4 Pd 2.95

=====

# Ti2MnPd

Ti2MnPd after structural relaxation (PBE, Alexandria via LeMat-Bulk).

Calculated values
Size of the total moment (μB/f.u.): 0.00
Space-group type: No. 123
Energy of formation from the pure elements (meV/atom): -359

Cell lengths 4.2877, 4.2877, 3.1554 Å; angles 90.00, 90.00, 90.00 degrees
Closest atoms and distances in Å follow each position.
Sites, in units of the cell vectors:
Ti 0.0000 0.5000 0.0000  4 Mn 2.66, 4 Pd 2.66
Ti 0.5000 0.0000 0.0000  4 Mn 2.66, 4 Pd 2.66
Mn 0.0000 0.0000 0.5000  8 Ti 2.66
Pd 0.5000 0.5000 0.5000  8 Ti 2.66

=====

# Ti3MnPd7

Ti3MnPd7 after structural relaxation (PBE, Alexandria via LeMat-Bulk).

Calculated values
Size of the total moment (μB/f.u.): 3.93
Space-group type: No. 12
Energy of formation from the pure elements (meV/atom): -265

Cell lengths 6.4922, 6.4922, 4.8794 Å; angles 108.24, 108.24, 93.09 degrees
Closest atoms and distances in Å follow each position.
Sites, in units of the cell vectors:
Ti 0.0000 0.0000 0.0000  6 Pd 2.54-2.68
Ti 0.2317 0.7683 0.5000  7 Pd 2.53-2.66
Ti 0.7683 0.2317 0.5000  7 Pd 2.53-2.66
Mn 0.5000 0.5000 0.0000  4 Pd 2.44-2.63
Pd 0.0516 0.6012 0.8209  3 Ti 2.54-2.66, 3 Pd 2.70-2.83
Pd 0.1777 0.1777 0.6153  3 Ti 2.61-2.68, 1 Mn 2.63, 3 Pd 2.84-2.87
Pd 0.3988 0.9484 0.1791  3 Ti 2.54-2.66, 3 Pd 2.70-2.83
Pd 0.5000 0.5000 0.5000  2 Mn 2.44, 2 Ti 2.53
Pd 0.6012 0.0516 0.8209  3 Ti 2.54-2.66, 3 Pd 2.70-2.83
Pd 0.8223 0.8223 0.3847  3 Ti 2.61-2.68, 1 Mn 2.63, 3 Pd 2.84-2.87
Pd 0.9484 0.3988 0.1791  3 Ti 2.54-2.66, 3 Pd 2.70-2.83

=====

# TiMn3Pd6

TiMn3Pd6 after structural relaxation (PBE, Alexandria via LeMat-Bulk).

Calculated values
Size of the total moment (μB/f.u.): 13.14
Space-group type: No. 11
Energy of formation from the pure elements (meV/atom): -330

Cell lengths 8.4005, 4.0451, 9.0083 Å; angles 90.00, 95.04, 90.00 degrees
Closest atoms and distances in Å follow each position.
Sites, in units of the cell vectors:
Ti 0.0614 0.2500 0.3790  10 Pd 2.64-2.89
Ti 0.9386 0.7500 0.6210  10 Pd 2.64-2.89
Mn 0.2481 0.2500 0.0171  10 Pd 2.72-2.93, 2 Mn 2.94
Mn 0.3469 0.7500 0.8066  8 Pd 2.63-2.75, 4 Mn 2.91-2.94
Mn 0.4467 0.2500 0.6018  8 Pd 2.64-2.85, 4 Mn 2.91-2.92
Mn 0.5533 0.7500 0.3982  8 Pd 2.64-2.85, 4 Mn 2.91-2.92
Mn 0.6531 0.2500 0.1934  8 Pd 2.63-2.75, 4 Mn 2.91-2.94
Mn 0.7519 0.7500 0.9829  10 Pd 2.72-2.93, 2 Mn 2.94
Pd 0.0599 0.7500 0.9016  4 Mn 2.63-2.75, 1 Ti 2.64, 7 Pd 2.80-2.93
Pd 0.1486 0.2500 0.6968  4 Mn 2.72-2.93, 3 Ti 2.73-2.89, 5 Pd 2.75-2.88
Pd 0.1529 0.7500 0.2076  2 Ti 2.70, 8 Pd 2.75-2.82, 2 Mn 2.81
Pd 0.2451 0.7500 0.5081  4 Mn 2.72-2.85, 3 Ti 2.74-2.85, 5 Pd 2.75-2.93
Pd 0.3654 0.2500 0.3114  5 Mn 2.64-2.75, 1 Ti 2.68, 6 Pd 2.80-2.93
Pd 0.4593 0.7500 0.1019  7 Mn 2.68-2.77, 5 Pd 2.82-2.92
Pd 0.5407 0.2500 0.8981  7 Mn 2.68-2.77, 5 Pd 2.82-2.92
Pd 0.6346 0.7500 0.6886  5 Mn 2.64-2.75, 1 Ti 2.68, 6 Pd 2.80-2.93
Pd 0.7549 0.2500 0.4919  4 Mn 2.72-2.85, 3 Ti 2.74-2.85, 5 Pd 2.75-2.93
Pd 0.8471 0.2500 0.7924  2 Ti 2.70, 8 Pd 2.75-2.82, 2 Mn 2.81
Pd 0.8514 0.7500 0.3032  4 Mn 2.72-2.93, 3 Ti 2.73-2.89, 5 Pd 2.75-2.88
Pd 0.9401 0.2500 0.0984  4 Mn 2.63-2.75, 1 Ti 2.64, 7 Pd 2.80-2.93

=====

# TiMn2Pd6

TiMn2Pd6 after structural relaxation (PBE, Alexandria via LeMat-Bulk).

Calculated values
Size of the total moment (μB/f.u.): 8.50
Space-group type: No. 12
Energy of formation from the pure elements (meV/atom): -330

Cell lengths 4.7418, 4.7418, 8.1821 Å; angles 103.17, 103.17, 50.46 degrees
Closest atoms and distances in Å follow each position.
Sites, in units of the cell vectors:
Ti 0.0000 0.0000 0.0000  8 Pd 2.59-2.84
Mn 0.3141 0.3141 0.7605  10 Pd 2.66-2.88
Mn 0.6859 0.6859 0.2395  10 Pd 2.66-2.88
Pd 0.0076 0.0076 0.3185  1 Ti 2.59, 3 Mn 2.67-2.71, 7 Pd 2.75-2.89
Pd 0.3372 0.3372 0.4429  3 Mn 2.66-2.73, 9 Pd 2.71-2.89
Pd 0.3421 0.3421 0.0997  3 Ti 2.67-2.84, 4 Mn 2.72-2.88, 5 Pd 2.82-2.83
Pd 0.6579 0.6579 0.9003  3 Ti 2.67-2.84, 4 Mn 2.72-2.88, 5 Pd 2.82-2.83
Pd 0.6628 0.6628 0.5571  3 Mn 2.66-2.73, 9 Pd 2.71-2.89
Pd 0.9924 0.9924 0.6815  1 Ti 2.59, 3 Mn 2.67-2.71, 7 Pd 2.75-2.89

=====

# TiMnPd14

TiMnPd14 after structural relaxation (PBE, Alexandria via LeMat-Bulk).

Calculated values
Size of the total moment (μB/f.u.): 4.95
Space-group type: No. 123
Energy of formation from the pure elements (meV/atom): -225

Cell lengths 5.5876, 5.5876, 7.8180 Å; angles 90.00, 90.00, 90.00 degrees
Closest atoms and distances in Å follow each position.
Sites, in units of the cell vectors:
Ti 0.0000 0.0000 0.0000  12 Pd 2.73-2.79
Mn 0.5000 0.5000 0.0000  12 Pd 2.75-2.79
Pd 0.0000 0.0000 0.5000  12 Pd 2.79-2.81
Pd 0.0000 0.5000 0.0000  8 Pd 2.74, 2 Mn 2.79, 2 Ti 2.79
Pd 0.0000 0.5000 0.5000  12 Pd 2.79-2.82
Pd 0.2484 0.2484 0.2433  1 Ti 2.73, 10 Pd 2.74-2.83, 1 Mn 2.75
Pd 0.2484 0.2484 0.7567  1 Ti 2.73, 10 Pd 2.74-2.83, 1 Mn 2.75
Pd 0.2484 0.7516 0.2433  1 Ti 2.73, 10 Pd 2.74-2.83, 1 Mn 2.75
Pd 0.2484 0.7516 0.7567  1 Ti 2.73, 10 Pd 2.74-2.83, 1 Mn 2.75
Pd 0.5000 0.0000 0.0000  8 Pd 2.74, 2 Mn 2.79, 2 Ti 2.79
Pd 0.5000 0.0000 0.5000  12 Pd 2.79-2.82
Pd 0.5000 0.5000 0.5000  12 Pd 2.79-2.83
Pd 0.7516 0.2484 0.2433  1 Ti 2.73, 10 Pd 2.74-2.83, 1 Mn 2.75
Pd 0.7516 0.2484 0.7567  1 Ti 2.73, 10 Pd 2.74-2.83, 1 Mn 2.75
Pd 0.7516 0.7516 0.2433  1 Ti 2.73, 10 Pd 2.74-2.83, 1 Mn 2.75
Pd 0.7516 0.7516 0.7567  1 Ti 2.73, 10 Pd 2.74-2.83, 1 Mn 2.75

=====

# Ti2Mn2Pd5

Ti2Mn2Pd5 after structural relaxation (PBE, Alexandria via LeMat-Bulk).

Calculated values
Size of the total moment (μB/f.u.): 3.76
Space-group type: No. 74
Energy of formation from the pure elements (meV/atom): -183

Cell lengths 8.8665, 8.8665, 8.8665 Å; angles 144.06, 56.57, 137.84 degrees
Closest atoms and distances in Å follow each position.
Sites, in units of the cell vectors:
Ti 0.0000 0.0000 0.0000  2 Mn 2.37
Ti 0.2917 0.0417 0.2500  7 Pd 2.51-2.74
Ti 0.5000 0.0000 0.5000  2 Mn 2.37
Ti 0.7083 0.9583 0.7500  7 Pd 2.51-2.74
Mn 0.1035 0.6389 0.4646  1 Mn 2.09
Mn 0.3258 0.3611 0.9646  1 Mn 2.09
Mn 0.6742 0.6389 0.0354  1 Mn 2.09
Mn 0.8965 0.3611 0.5354  1 Mn 2.09
Pd 0.0886 0.0000 0.5886  2 Mn 2.50, 2 Ti 2.69, 5 Pd 2.74-2.80
Pd 0.0886 0.5000 0.0886  2 Mn 2.50, 2 Ti 2.69, 5 Pd 2.74-2.80
Pd 0.3147 0.5647 0.7500  3 Ti 2.51-2.74, 4 Pd 2.80
Pd 0.3613 0.0000 0.8613  4 Ti 2.73-2.89, 4 Pd 2.74-2.82, 2 Mn 2.76
Pd 0.3613 0.5000 0.3613  4 Ti 2.73-2.89, 4 Pd 2.74-2.82, 2 Mn 2.76
Pd 0.6387 0.0000 0.1387  4 Ti 2.73-2.89, 4 Pd 2.74-2.82, 2 Mn 2.76
Pd 0.6387 0.5000 0.6387  4 Ti 2.73-2.89, 4 Pd 2.74-2.82, 2 Mn 2.76
Pd 0.6853 0.4353 0.2500  3 Ti 2.51-2.74, 4 Pd 2.80
Pd 0.9114 0.0000 0.4114  2 Mn 2.50, 2 Ti 2.69, 5 Pd 2.74-2.80
Pd 0.9114 0.5000 0.9114  2 Mn 2.50, 2 Ti 2.69, 5 Pd 2.74-2.80

=====

# TiMn3Pd12

TiMn3Pd12 after structural relaxation (PBE, Alexandria via LeMat-Bulk).

Calculated values
Size of the total moment (μB/f.u.): 12.91
Space-group type: No. 123
Energy of formation from the pure elements (meV/atom): -332

Cell lengths 3.9284, 3.9284, 15.6566 Å; angles 90.00, 90.00, 90.00 degrees
Closest atoms and distances in Å follow each position.
Sites, in units of the cell vectors:
Ti 0.0000 0.0000 0.0000  12 Pd 2.75-2.78
Mn 0.0000 0.0000 0.2511  12 Pd 2.76-2.81
Mn 0.0000 0.0000 0.5000  12 Pd 2.77-2.78
Mn 0.0000 0.0000 0.7489  12 Pd 2.76-2.81
Pd 0.0000 0.5000 0.1232  8 Pd 2.75-2.79, 2 Ti 2.75, 2 Mn 2.81
Pd 0.0000 0.5000 0.3751  4 Mn 2.76-2.77, 8 Pd 2.77-2.78
Pd 0.0000 0.5000 0.6249  4 Mn 2.76-2.77, 8 Pd 2.77-2.78
Pd 0.0000 0.5000 0.8768  8 Pd 2.75-2.79, 2 Ti 2.75, 2 Mn 2.81
Pd 0.5000 0.0000 0.1232  8 Pd 2.75-2.79, 2 Ti 2.75, 2 Mn 2.81
Pd 0.5000 0.0000 0.3751  4 Mn 2.76-2.77, 8 Pd 2.77-2.78
Pd 0.5000 0.0000 0.6249  4 Mn 2.76-2.77, 8 Pd 2.77-2.78
Pd 0.5000 0.0000 0.8768  8 Pd 2.75-2.79, 2 Ti 2.75, 2 Mn 2.81
Pd 0.5000 0.5000 0.0000  8 Pd 2.75, 4 Ti 2.78
Pd 0.5000 0.5000 0.2493  4 Mn 2.78, 8 Pd 2.78-2.79
Pd 0.5000 0.5000 0.5000  8 Pd 2.77, 4 Mn 2.78
Pd 0.5000 0.5000 0.7507  4 Mn 2.78, 8 Pd 2.78-2.79

=====

# Ti2MnPd

Ti2MnPd after structural relaxation (PBE, Alexandria via LeMat-Bulk).

Calculated values
Size of the total moment (μB/f.u.): 0.00
Space-group type: No. 123
Energy of formation from the pure elements (meV/atom): -468

Cell lengths 3.0306, 3.0306, 6.2876 Å; angles 90.00, 90.00, 90.00 degrees
Closest atoms and distances in Å follow each position.
Sites, in units of the cell vectors:
Ti 0.0000 0.0000 0.2252  4 Mn 2.57, 4 Pd 2.75, 1 Ti 2.83
Ti 0.0000 0.0000 0.7748  4 Mn 2.57, 4 Pd 2.75, 1 Ti 2.83
Mn 0.5000 0.5000 0.0000  8 Ti 2.57
Pd 0.5000 0.5000 0.5000  8 Ti 2.75, 4 Pd 3.03

=====

Listing V for the structures above in their given order: 106; 121; 58; 183; 305; 137; 244; 272; 242; 58 Å³ per cell.